1.
Material: DyTmNiOs
Method: DFT, PBE-GGA
State: optimized geometry

Computed properties:
Space group ... F-43m (216)

Lattice parameters (Å, degrees): 6.742 6.742 6.742 90.00 90.00 90.00
Fractional coordinates of all 16 atoms:
Dy1 0.000 0.000 0.000
Dy2 0.000 0.500 0.500
Dy3 0.500 0.000 0.500
Dy4 0.500 0.500 0.000
Tm1 0.000 0.000 0.500
Tm2 0.000 0.500 0.000
Tm3 0.500 0.000 0.000
Tm4 0.500 0.500 0.500
Ni1 0.250 0.250 0.750
Ni2 0.250 0.750 0.250
Ni3 0.750 0.250 0.250
Ni4 0.750 0.750 0.750
Os1 0.250 0.250 0.250
Os2 0.250 0.750 0.750
Os3 0.750 0.250 0.750
Os4 0.750 0.750 0.250



2.
Material: DyYNiOs
Method: DFT, PBE-GGA
State: optimized geometry

Computed properties:
Space group ... F-43m (216)

Lattice parameters (Å, degrees): 6.802 6.802 6.802 90.00 90.00 90.00
Fractional coordinates of all 16 atoms:
Dy1 0.000 0.000 0.000
Dy2 0.000 0.500 0.500
Dy3 0.500 0.000 0.500
Dy4 0.500 0.500 0.000
Y1 0.000 0.000 0.500
Y2 0.000 0.500 0.000
Y3 0.500 0.000 0.000
Y4 0.500 0.500 0.500
Ni1 0.250 0.250 0.250
Ni2 0.250 0.750 0.750
Ni3 0.750 0.250 0.750
Ni4 0.750 0.750 0.250
Os1 0.250 0.250 0.750
Os2 0.250 0.750 0.250
Os3 0.750 0.250 0.250
Os4 0.750 0.750 0.750



3.
Material: DyNi6P
Method: DFT, PBE-GGA
State: optimized geometry

Computed properties:
Space group ... R-3m (166)

Lattice parameters (Å, degrees): 5.236 5.236 5.236 65.66 65.66 65.66
Fractional coordinates of all 8 atoms:
Dy1 0.000 0.000 0.000
Ni1 0.038 0.620 0.620
Ni2 0.380 0.380 0.962
Ni3 0.380 0.962 0.380
Ni4 0.620 0.038 0.620
Ni5 0.620 0.620 0.038
Ni6 0.962 0.380 0.380
P1 0.500 0.500 0.500



Asked for E_tot across the records above, the calculation gives -6.86, -7.30, -5.74 eV per atom in order.